i) Sr2LiGeH: optimized geometry, GGA-PBE.

extended XYZ file:
```
5
Lattice="5.173 0.000 0.000 0.000 5.173 0.000 0.000 0.000 4.281" Properties=species:S:1:pos:R:3 pbc="T T T"
Sr 0.000 2.587 0.000
Sr 2.587 0.000 0.000
Li 0.000 0.000 2.140
Ge 2.587 2.587 2.140
H 0.000 0.000 0.000
```

Summary:
Fermi-level density of states, states/eV per cell: 0.69


ii) Sr2LiGeH: optimized geometry, GGA-PBE.

extended XYZ file:
```
10
Lattice="6.717 0.000 0.000 0.000 4.615 0.000 -2.504 0.000 7.771" Properties=species:S:1:pos:R:3 pbc="T T T"
Sr 0.187 1.154 3.181
Sr -0.697 1.154 7.332
Sr 4.910 3.461 0.440
Sr 4.026 3.461 4.590
Li 2.160 3.461 2.176
Li 2.053 1.154 5.596
Ge 0.633 3.461 5.422
Ge 3.580 1.154 2.349
H 0.580 3.461 1.195
H 3.633 1.154 6.576
```


Short version: i) is the least stable of them.


i) MgGeH2: optimized geometry, GGA-PBE.

extended XYZ file:
```
4
Lattice="0.000 2.815 2.815 2.815 0.000 2.815 2.815 2.815 0.000" Properties=species:S:1:pos:R:3 pbc="T T T"
Mg 0.000 0.000 0.000
Ge 2.815 2.815 2.815
H 1.407 1.407 1.407
H 4.222 4.222 4.222
```

Summary:
Fermi-level density of states, states/eV per cell: 1.20


ii) MgGeH2: optimized geometry, GGA-PBE.

extended XYZ file:
```
8
Lattice="-2.428 2.428 4.411 2.428 -2.428 4.411 2.428 2.428 -4.411" Properties=species:S:1:pos:R:3 pbc="T T T"
Mg 0.000 0.000 0.000
Mg 0.000 2.428 2.206
Ge 2.428 0.000 2.206
Ge 0.000 0.000 4.411
H 3.641 0.865 -1.103
H 0.865 1.214 1.103
H -1.214 1.563 3.309
H 1.563 1.214 5.514
```

Summary:
Fermi-level density of states, states/eV per cell: 1.81


Short version: i) is the least stable of them.


i) MnGeH: optimized geometry, GGA-PBE.

extended XYZ file:
```
6
Lattice="1.545 -7.554 0.000 1.545 7.554 0.000 0.000 0.000 2.801" Properties=species:S:1:pos:R:3 pbc="T T T"
Mn 1.545 4.805 2.101
Mn 1.545 -4.805 0.700
Ge 1.545 1.205 2.101
Ge 1.545 -1.205 0.700
H 1.545 3.718 0.700
H 1.545 -3.718 2.101
```

Summary:
Fermi-level density of states, states/eV per cell: 2.82


ii) MnGeH: optimized geometry, GGA-PBE.

extended XYZ file:
```
3
Lattice="3.167 0.000 0.000 -1.583 2.743 0.000 0.000 0.000 3.470" Properties=species:S:1:pos:R:3 pbc="T T T"
Mn 0.000 0.000 0.000
Ge 0.000 1.828 1.735
H 1.583 0.914 0.000
```

Summary:
Fermi-level density of states, states/eV per cell: 1.39


Short version: i) is the least stable of them.


i) Mn2GeH: optimized geometry, GGA-PBE.

extended XYZ file:
```
4
Lattice="1.403 0.810 5.840 -1.403 0.810 5.840 0.000 -1.620 5.840" Properties=species:S:1:pos:R:3 pbc="T T T"
Mn 0.000 0.000 0.000
Mn 0.000 0.000 3.823
Ge 0.000 0.000 7.706
H 0.000 0.000 10.819
```

Summary:
Fermi-level density of states, states/eV per cell: 2.75


ii) Mn2GeH: optimized geometry, GGA-PBE.

extended XYZ file:
```
4
Lattice="0.000 2.836 2.836 2.836 0.000 2.836 2.836 2.836 0.000" Properties=species:S:1:pos:R:3 pbc="T T T"
Mn 1.418 1.418 1.418
Mn 4.254 4.254 4.254
Ge 0.000 0.000 0.000
H 2.836 2.836 2.836
```

Summary:
Fermi-level density of states, states/eV per cell: 1.76


Short version: ii) is the least stable of them.


i) Mn2GeH2: optimized geometry, GGA-PBE.

extended XYZ file:
```
5
Lattice="-1.458 1.458 4.976 1.458 -1.458 4.976 1.458 1.458 -4.976" Properties=species:S:1:pos:R:3 pbc="T T T"
Mn 0.000 0.000 1.448
Mn 0.000 0.000 8.504
Ge 0.000 0.000 4.976
H 1.458 0.000 2.488
H 0.000 1.458 2.488
```

Summary:
Fermi-level density of states, states/eV per cell: 3.85


ii) Mn2GeH2: optimized geometry, GGA-PBE.

extended XYZ file:
```
10
Lattice="6.028 0.000 0.000 0.000 6.028 0.000 0.000 0.000 2.700" Properties=species:S:1:pos:R:3 pbc="T T T"
Mn 0.707 2.307 0.000
Mn 2.307 5.321 0.000
Mn 3.721 0.707 0.000
Mn 5.321 3.721 0.000
Ge 0.000 0.000 0.000
Ge 3.014 3.014 0.000
H 0.612 3.626 1.350
H 2.402 0.612 1.350
H 3.626 5.416 1.350
H 5.416 2.402 1.350
```

Summary:
Fermi-level density of states, states/eV per cell: 4.23


Short version: ii) is the least stable of them.


i) Mn2GeHPt: optimized geometry, GGA-PBE.

extended XYZ file:
```
5
Lattice="3.709 0.000 0.000 0.000 3.709 0.000 0.000 0.000 4.215" Properties=species:S:1:pos:R:3 pbc="T T T"
Mn 0.000 1.855 0.000
Mn 1.855 0.000 0.000
Ge 0.000 0.000 2.108
H 0.000 0.000 0.000
Pt 1.855 1.855 2.108
```

Summary:
Fermi-level density of states, states/eV per cell: 3.23


ii) Mn2GeHPt: optimized geometry, GGA-PBE.

extended XYZ file:
```
5
Lattice="3.823 0.000 0.000 0.000 3.823 0.000 0.000 0.000 3.946" Properties=species:S:1:pos:R:3 pbc="T T T"
Mn 0.000 1.911 0.000
Mn 1.911 0.000 0.000
Ge 0.000 0.000 1.973
H 1.911 1.911 0.000
Pt 1.911 1.911 1.973
```

Summary:
Fermi-level density of states, states/eV per cell: 2.34


Short version: i) is the least stable of them.


i) Mn2GeHSe: optimized geometry, GGA-PBE.

extended XYZ file:
```
5
Lattice="2.841 0.000 0.000 0.000 2.969 0.000 0.000 0.000 7.333" Properties=species:S:1:pos:R:3 pbc="T T T"
Mn 0.000 0.000 0.000
Mn 1.420 1.485 1.390
Ge 1.420 1.485 5.889
H 0.000 1.485 2.102
Se 1.420 0.000 3.327
```

Summary:
Fermi-level density of states, states/eV per cell: 3.18


ii) Mn2GeHSe: optimized geometry, GGA-PBE.

extended XYZ file:
```
5
Lattice="2.522 -2.435 0.000 2.522 2.435 0.000 -2.346 0.000 5.904" Properties=species:S:1:pos:R:3 pbc="T T T"
Mn 2.522 1.394 0.000
Mn 2.522 -1.394 0.000
Ge 1.338 0.000 4.063
H -0.920 0.000 5.561
Se 3.631 0.000 1.682
```

Summary:
Fermi-level density of states, states/eV per cell: 3.21


Short version: i) is the least stable of them.


i) TiMn2GeH: optimized geometry, GGA-PBE.

extended XYZ file:
```
10
Lattice="1.502 -5.409 0.000 1.502 5.409 0.000 0.000 0.000 7.150" Properties=species:S:1:pos:R:3 pbc="T T T"
Ti 1.502 5.256 5.362
Ti 1.502 -5.256 1.787
Mn 1.502 1.574 3.985
Mn 1.502 1.574 6.740
Mn 1.502 -1.574 0.410
Mn 1.502 -1.574 3.165
Ge 1.502 2.528 1.787
Ge 1.502 -2.528 5.362
H 1.502 0.000 0.000
H 1.502 0.000 3.575
```

Summary:
Fermi-level density of states, states/eV per cell: 5.82


ii) TiMn2GeH: optimized geometry, GGA-PBE.

extended XYZ file:
```
5
Lattice="3.801 0.000 0.000 0.000 3.801 0.000 0.000 0.000 3.803" Properties=species:S:1:pos:R:3 pbc="T T T"
Ti 0.000 0.000 0.000
Mn 0.000 1.901 1.901
Mn 1.901 0.000 1.901
Ge 1.901 1.901 0.000
H 0.000 0.000 1.901
```

Summary:
Fermi-level density of states, states/eV per cell: 1.89


Short version: i) is the least stable of them.